# 1
# Co2MoPd

A relaxed Co2MoPd crystal (GGA-PBE, Alexandria).

```
data_Co2MoPd
_space_group_name_H-M_alt 'F m -3 m'
_space_group_IT_number 225
_space_group_name_Hall '-F 4 2 3'
_cell_length_a 5.9099
_cell_length_b 5.9099
_cell_length_c 5.9099
_cell_angle_alpha 90.00
_cell_angle_beta 90.00
_cell_angle_gamma 90.00
loop_
_atom_site_label
_atom_site_fract_x
_atom_site_fract_y
_atom_site_fract_z
_atom_site_occupancy
Co1 0.2500 0.2500 0.2500 1
Mo1 0.0000 0.0000 0.0000 1
Pd1 0.0000 0.0000 0.5000 1
```

Summary:
energy of formation: 0.1527 eV/atom
Fermi-level density of states: 11.37 states/eV/cell
total magnetization: 0.00 μB/f.u.
E above lowest polymorph: 0.049 eV/atom

---

# 2
# CoRe2MoPd

A relaxed CoRe2MoPd crystal (GGA-PBE, Alexandria).

```
data_CoRe2MoPd
_space_group_name_H-M_alt 'P 4/m m m'
_space_group_IT_number 123
_space_group_name_Hall '-P 4 2'
_cell_length_a 4.6691
_cell_length_b 4.6691
_cell_length_c 4.3632
_cell_angle_alpha 90.00
_cell_angle_beta 90.00
_cell_angle_gamma 90.00
loop_
_atom_site_label
_atom_site_fract_x
_atom_site_fract_y
_atom_site_fract_z
_atom_site_occupancy
Co1 0.0000 0.0000 0.0000 1
Re1 0.0000 0.5000 0.5000 1
Mo1 0.5000 0.5000 0.0000 1
Pd1 0.0000 0.0000 0.5000 1
```

Summary:
energy of formation: 2.3474 eV/atom
Fermi-level density of states: 9.52 states/eV/cell
total magnetization: 1.46 μB/f.u.

---

# 3
# CoMo2PdSe

A relaxed CoMo2PdSe crystal (GGA-PBE, Alexandria).

```
data_CoMo2PdSe
_space_group_name_H-M_alt 'P 4/m m m'
_space_group_IT_number 123
_space_group_name_Hall '-P 4 2'
_cell_length_a 4.7915
_cell_length_b 4.7915
_cell_length_c 4.4990
_cell_angle_alpha 90.00
_cell_angle_beta 90.00
_cell_angle_gamma 90.00
loop_
_atom_site_label
_atom_site_fract_x
_atom_site_fract_y
_atom_site_fract_z
_atom_site_occupancy
Co1 0.0000 0.0000 0.0000 1
Mo1 0.0000 0.5000 0.5000 1
Pd1 0.0000 0.0000 0.5000 1
Se1 0.5000 0.5000 0.0000 1
```

Summary:
formation energy (no corrections): 9.03 eV per formula unit
Fermi-level density of states: 10.66 states/eV/cell
total magnetization: 2.83 μB/f.u.

---

# 4
# Co2SnMoPd

A relaxed Co2SnMoPd crystal (GGA-PBE, Alexandria).

```
data_Co2SnMoPd
_space_group_name_H-M_alt 'P 4/m m m'
_space_group_IT_number 123
_space_group_name_Hall '-P 4 2'
_cell_length_a 4.5894
_cell_length_b 4.5894
_cell_length_c 5.0606
_cell_angle_alpha 90.00
_cell_angle_beta 90.00
_cell_angle_gamma 90.00
loop_
_atom_site_label
_atom_site_fract_x
_atom_site_fract_y
_atom_site_fract_z
_atom_site_occupancy
Co1 0.0000 0.5000 0.0000 1
Sn1 0.0000 0.0000 0.0000 1
Mo1 0.0000 0.0000 0.5000 1
Pd1 0.5000 0.5000 0.5000 1
```

Summary:
energy of formation: 1.7100 eV/atom
Fermi-level density of states: 4.07 states/eV/cell
total magnetization: 5.58 μB/f.u.

---

# 5
# SrCo2MoPd

A relaxed SrCo2MoPd crystal (GGA-PBE, Alexandria).

```
data_SrCo2MoPd
_space_group_name_H-M_alt 'P 4/m m m'
_space_group_IT_number 123
_space_group_name_Hall '-P 4 2'
_cell_length_a 4.5151
_cell_length_b 4.5151
_cell_length_c 5.0413
_cell_angle_alpha 90.00
_cell_angle_beta 90.00
_cell_angle_gamma 90.00
loop_
_atom_site_label
_atom_site_fract_x
_atom_site_fract_y
_atom_site_fract_z
_atom_site_occupancy
Sr1 0.0000 0.0000 0.0000 1
Co1 0.0000 0.5000 0.5000 1
Mo1 0.5000 0.5000 0.5000 1
Pd1 0.5000 0.5000 0.0000 1
```

Summary:
energy of formation: 0.6458 eV/atom
Fermi-level density of states: 5.81 states/eV/cell
total magnetization: 1.12 μB/f.u.

---

# 6
# TlCoMo2Pd

A relaxed TlCoMo2Pd crystal (GGA-PBE, Alexandria).

```
data_TlCoMo2Pd
_space_group_name_H-M_alt 'P 4/m m m'
_space_group_IT_number 123
_space_group_name_Hall '-P 4 2'
_cell_length_a 4.4502
_cell_length_b 4.4502
_cell_length_c 4.7893
_cell_angle_alpha 90.00
_cell_angle_beta 90.00
_cell_angle_gamma 90.00
loop_
_atom_site_label
_atom_site_fract_x
_atom_site_fract_y
_atom_site_fract_z
_atom_site_occupancy
Tl1 0.0000 0.0000 0.0000 1
Co1 0.0000 0.0000 0.5000 1
Mo1 0.0000 0.5000 0.5000 1
Pd1 0.5000 0.5000 0.0000 1
```

Summary:
energy of formation: 1.1193 eV/atom
Fermi-level density of states: 6.00 states/eV/cell
total magnetization: 0.67 μB/f.u.

---

# 7
# PmCo2Mo

A relaxed PmCo2Mo crystal (GGA-PBE, Alexandria).

```
data_PmCo2Mo
_space_group_name_H-M_alt 'P 4/m m m'
_space_group_IT_number 123
_space_group_name_Hall '-P 4 2'
_cell_length_a 3.0798
_cell_length_b 3.0798
_cell_length_c 6.9416
_cell_angle_alpha 90.00
_cell_angle_beta 90.00
_cell_angle_gamma 90.00
loop_
_atom_site_label
_atom_site_fract_x
_atom_site_fract_y
_atom_site_fract_z
_atom_site_occupancy
Pm1 0.0000 0.0000 0.0000 1
Co1 0.5000 0.5000 0.3155 1
Mo1 0.0000 0.0000 0.5000 1
```

Summary:
energy of formation: 0.1485 eV/atom
Fermi-level density of states: 3.69 states/eV/cell
total magnetization: 0.00 μB/f.u.

---

# 8
# PmCoMo

A relaxed PmCoMo crystal (GGA-PBE, Alexandria).

```
data_PmCoMo
_space_group_name_H-M_alt 'C 1 2/m 1'
_space_group_IT_number 12
_cell_length_a 4.6757
_cell_length_b 4.6791
_cell_length_c 10.7415
_cell_angle_alpha 90.00
_cell_angle_beta 90.07
_cell_angle_gamma 90.00
loop_
_space_group_symop_operation_xyz
'x,y,z'
'-x,-y,-z'
'-x,y,-z'
'x,-y,z'
'x+1/2,y+1/2,z'
'-x+1/2,-y+1/2,-z'
'-x+1/2,y+1/2,-z'
'x+1/2,-y+1/2,z'
loop_
_atom_site_label
_atom_site_fract_x
_atom_site_fract_y
_atom_site_fract_z
_atom_site_occupancy
Pm1 0.2497 0.0000 0.2361 1
Co1 0.0000 0.2500 0.0000 1
Mo1 0.2499 0.0000 0.5579 1
```

Summary:
energy of formation: 0.2700 eV/atom
Fermi-level density of states: 15.48 states/eV/cell
total magnetization: 1.54 μB/f.u.